(1)
K2BeFe, relaxed, DFT PBE; formation energy from the elements = 0.74 eV/atom; space-group type = R3m
1.0
1.990 1.149 9.379
-1.990 1.149 9.379
0.000 -2.298 9.379
K Be Fe
2 1 1
direct
0.000 0.000 0.000
0.178 0.178 0.178
0.756 0.756 0.756
0.422 0.422 0.422



(2)
Na2HoInPb2, relaxed, DFT PBE; formation energy from the elements = -0.25 eV/atom; space-group type = Pmc2_1
1.0
4.739 0.000 0.000
0.000 9.645 0.000
0.000 0.000 7.538
Na Ho In Pb
4 2 2 4
direct
0.000 0.050 0.000
0.000 0.950 0.500
0.500 0.171 0.290
0.500 0.829 0.790
0.500 0.459 0.913
0.500 0.541 0.413
0.000 0.324 0.592
0.000 0.676 0.092
0.000 0.370 0.183
0.000 0.630 0.683
0.500 0.163 0.730
0.500 0.837 0.230



(3)
U3Ru, relaxed, DFT PBE; formation energy from the elements = -0.01 eV/atom; space-group type = Imm2
1.0
-1.467 5.348 2.429
1.467 -5.348 2.429
1.467 5.348 -2.429
U Ru
3 1
direct
0.000 0.000 0.000
0.501 0.722 0.779
0.943 0.722 0.221
0.463 0.963 0.500



(4)
TaAuF2, relaxed, DFT PBE; ΔE_f (raw) = -35.63 kJ/mol of atoms; space-group type = Fm-3m; polymorph energy (0 for the lowest one) = 1038 meV/atom
1.0
0.000 3.015 3.015
3.015 0.000 3.015
3.015 3.015 0.000
Ta Au F
1 1 2
direct
0.000 0.000 0.000
0.500 0.500 0.500
0.250 0.250 0.250
0.750 0.750 0.750



(5)
HfGaRe, relaxed, DFT PBE; formation energy from the elements = -0.29 eV/atom; space-group type = I4mm; polymorph energy (0 for the lowest one) = 0 meV/atom
1.0
-1.696 1.696 4.433
1.696 -1.696 4.433
1.696 1.696 -4.433
Hf Ga Re
1 1 1
direct
0.000 0.000 0.000
0.682 0.682 0.000
0.335 0.335 0.000



(6)
KScHg2, relaxed, DFT PBE; formation energy from the elements = -0.14 eV/atom; space-group type = Cmmm; polymorph energy (0 for the lowest one) = 89 meV/atom
1.0
3.883 -3.890 0.000
3.883 3.890 0.000
0.000 0.000 3.447
K Sc Hg
1 1 2
direct
0.000 0.000 0.000
0.500 0.500 0.000
0.000 0.500 0.500
0.500 0.000 0.500



(7)
Pa2InRh6, relaxed, DFT PBE; formation energy from the elements = -0.53 eV/atom; space-group type = Immm
1.0
-1.805 3.748 6.513
1.805 -3.748 6.513
1.805 3.748 -6.513
Pa In Rh
2 1 6
direct
0.160 0.160 0.000
0.840 0.840 0.000
0.500 0.500 0.000
0.093 0.334 0.760
0.226 0.000 0.226
0.426 0.666 0.760
0.574 0.334 0.240
0.774 0.000 0.774
0.907 0.666 0.240



(8)
LiZr4Os2, relaxed, DFT PBE; formation energy from the elements = -0.29 eV/atom; space-group type = R-3m
1.0
2.314 1.336 7.482
-2.314 1.336 7.482
0.000 -2.672 7.482
Li Zr Os
1 4 2
direct
0.000 0.000 0.000
0.128 0.128 0.128
0.379 0.379 0.379
0.621 0.621 0.621
0.872 0.872 0.872
0.252 0.252 0.252
0.748 0.748 0.748



(9)
Hf2GaPd, relaxed, DFT PBE; formation energy from the elements = -0.50 eV/atom; space-group type = P4/mmm
1.0
4.359 0.000 0.000
0.000 4.359 0.000
0.000 0.000 3.852
Hf Ga Pd
2 1 1
direct
0.000 0.500 0.000
0.500 0.000 0.000
0.000 0.000 0.500
0.500 0.500 0.500



(10)
PmNd3In2, relaxed, DFT PBE; formation energy from the elements = -0.14 eV/atom; space-group type = Pmm2; polymorph energy (0 for the lowest one) = 212 meV/atom
1.0
3.359 0.000 0.000
0.000 5.393 0.000
0.000 0.000 9.625
Pm Nd In
1 3 2
direct
0.000 0.000 0.000
0.000 0.000 0.325
0.000 0.500 0.501
0.000 0.500 0.826
0.500 0.000 0.664
0.500 0.500 0.161



(11)
Y2Tc, relaxed, DFT PBE; formation energy from the elements = 0.12 eV/atom; space-group type = Cm; polymorph energy (0 for the lowest one) = 135 meV/atom
1.0
5.738 -1.767 0.000
5.738 1.767 0.000
-2.072 0.000 7.270
Y Tc
4 2
direct
0.000 0.000 0.000
0.007 0.007 0.507
0.300 0.300 0.689
0.708 0.708 0.300
0.316 0.316 0.105
0.678 0.678 0.872



(12)
PrY12Sc7, relaxed, DFT PBE; formation energy from the elements = 0.17 eV/atom; space-group type = R-3
1.0
7.367 4.253 3.230
-7.367 4.253 3.230
0.000 -8.506 3.230
Pr Y Sc
1 12 7
direct
0.000 0.000 0.000
0.051 0.855 0.330
0.145 0.670 0.949
0.186 0.631 0.512
0.330 0.051 0.855
0.369 0.488 0.814
0.488 0.814 0.369
0.512 0.186 0.631
0.631 0.512 0.186
0.670 0.949 0.145
0.814 0.369 0.488
0.855 0.330 0.051
0.949 0.145 0.670
0.124 0.243 0.399
0.243 0.399 0.124
0.399 0.124 0.243
0.500 0.500 0.500
0.601 0.876 0.757
0.757 0.601 0.876
0.876 0.757 0.601